K3Ag6Sb5 after structural relaxation. Source: the Alexandria database, functional GGA-PBE.

Cell lengths 4.6107, 13.6576, 12.1915 Å; angles 90.00, 90.00, 90.00 degrees
Last column: nearest neighbours and their distance in Å.
Fractional coordinates of all 28 atoms:
K: 0.2500 0.0975 0.2425  5 Ag 3.50-3.90, 6 Sb 3.54-3.70
K: 0.2500 0.4025 0.2425  5 Ag 3.50-3.90, 6 Sb 3.54-3.70
K: 0.2500 0.7500 0.2545  6 Sb 3.55-3.63, 10 Ag 3.66-3.78
K: 0.7500 0.2500 0.7455  6 Sb 3.55-3.63, 10 Ag 3.66-3.78
K: 0.7500 0.5975 0.7575  5 Ag 3.50-3.90, 6 Sb 3.54-3.70
K: 0.7500 0.9025 0.7575  5 Ag 3.50-3.90, 6 Sb 3.54-3.70
Ag: 0.2500 0.0646 0.8748  4 Sb 2.83-2.94, 1 Ag 2.91
Ag: 0.2500 0.2500 0.5127  4 Sb 2.81-2.87
Ag: 0.2500 0.2500 0.9917  4 Sb 2.89, 2 Ag 2.91
Ag: 0.2500 0.4354 0.8748  4 Sb 2.83-2.94, 1 Ag 2.91
Ag: 0.2500 0.5804 0.4895  4 Sb 2.80-2.83
Ag: 0.2500 0.9196 0.4895  4 Sb 2.80-2.83
Ag: 0.7500 0.0804 0.5105  4 Sb 2.80-2.83
Ag: 0.7500 0.4196 0.5105  4 Sb 2.80-2.83
Ag: 0.7500 0.5646 0.1252  4 Sb 2.83-2.94, 1 Ag 2.91
Ag: 0.7500 0.7500 0.0083  4 Sb 2.89, 2 Ag 2.91
Ag: 0.7500 0.7500 0.4873  4 Sb 2.81-2.87
Ag: 0.7500 0.9354 0.1252  4 Sb 2.83-2.94, 1 Ag 2.91
Sb: 0.2500 0.0752 0.6431  5 Ag 2.82-2.87
Sb: 0.2500 0.4248 0.6431  5 Ag 2.82-2.87
Sb: 0.2500 0.6226 0.9934  5 Ag 2.89-2.94
Sb: 0.2500 0.7500 0.6185  4 Ag 2.80-2.81
Sb: 0.2500 0.8774 0.9934  5 Ag 2.89-2.94
Sb: 0.7500 0.1226 0.0066  5 Ag 2.89-2.94
Sb: 0.7500 0.2500 0.3815  4 Ag 2.80-2.81
Sb: 0.7500 0.3774 0.0066  5 Ag 2.89-2.94
Sb: 0.7500 0.5752 0.3569  5 Ag 2.82-2.87
Sb: 0.7500 0.9248 0.3569  5 Ag 2.82-2.87

## Properties
The value obtained for the formation energy (no corrections) is -0.14 eV per atom. Its size of the total moment is 0.00 μB per formula unit.